CoOsPbO6 | PBE with a Hubbard U | relaxed

Values from the calculation:
DFT total energy ... -6.536 eV/atom
Total magnetic moment ... 1.01 Bohr magnetons per cell

```
data_CoOsPbO6
_symmetry_space_group_name_H-M 'P 1'
_symmetry_Int_Tables_number 1
_symmetry_space_group_name_Hall 'P 1'
_cell_length_a 5.1275
_cell_length_b 5.1275
_cell_length_c 5.2117
_cell_angle_alpha 90.00
_cell_angle_beta 90.00
_cell_angle_gamma 120.00
loop_
_atom_site_label
_atom_site_type_symbol
_atom_site_fract_x
_atom_site_fract_y
_atom_site_fract_z
_atom_site_occupancy
Co1 Co 0.0000 0.0000 0.0000 1
Os1 Os 0.6667 0.3333 0.0000 1
Pb1 Pb 0.3333 0.6667 0.5000 1
O1 O 0.3323 0.0522 0.7975 1
O2 O 0.3323 0.2801 0.2025 1
O3 O 0.7199 0.0522 0.2025 1
O4 O 0.7199 0.6677 0.7975 1
O5 O 0.9478 0.2801 0.7975 1
O6 O 0.9478 0.6677 0.2025 1
```